Below is a geometry-optimized Sm8NiHg2 structure, with properties calculated at the GGA-PBE level.

The space group is Cm (No. 8) and the conventional cell measures 7.667, 16.250 and 6.328 Å, with angles of 90.00, 123.12 and 90.00 degrees. The distinct sites, in fractional coordinates, are Sm at (0.000, 0.000, 0.000), Sm at (0.011, 0.111, 0.503), Sm at (0.039, 0.500, 0.386), Sm at (0.052, 0.389, 0.871), Sm at (0.278, 0.197, 0.173), Ni at (0.278, 0.000, 0.878) and Hg at (0.275, 0.282, 0.676).

The total DFT energy (no corrections) comes out at -4.19 eV per atom. The calculation puts the density of states at the Fermi level at 23.89 states/eV per cell. Its energy above the most stable polymorph in this dataset is 0.15 eV per formula unit.

Below is a geometry-optimized Sm12NiHg6 structure, with properties calculated at the GGA-PBE level.

The space group is R-3 (No. 148, hexagonal axes) and the conventional cell measures 12.2425, 12.2425 and 13.3785 Å, with angles of 90.00, 90.00 and 120.00 degrees. The distinct sites, in fractional coordinates, are Sm at (0.0347, 0.8453, 0.3776), Sm at (0.0370, 0.1890, 0.8891), Ni at (0.0000, 0.0000, 0.5000) and Hg at (0.0043, 0.3979, 0.7556).

The total DFT energy (no corrections) comes out at -3.61 eV per atom. The calculation puts the density of states at the Fermi level at 71.80 states/eV per cell.

Below is a geometry-optimized SmNi5Hg structure, with properties calculated at the GGA-PBE level.

The space group is Pnma (No. 62) and the conventional cell measures 8.183, 4.877 and 10.370 Å, with angles of 90.00, 90.00 and 90.00 degrees. The distinct sites, in fractional coordinates, are Sm at (0.246, 0.250, 0.061), Ni at (0.048, 0.750, 0.113), Ni at (0.068, 0.501, 0.313), Ni at (0.078, 0.250, 0.516), Ni at (0.188, 0.250, 0.739) and Hg at (0.137, 0.750, 0.865).

The total DFT energy (no corrections) comes out at -5.05 eV per atom. The calculation puts the density of states at the Fermi level at 35.69 states/eV per cell.

Below is a geometry-optimized Sm5NiHg4 structure, with properties calculated at the GGA-PBE level.

The space group is P4/mmm (No. 123) and the conventional cell measures 3.689, 3.689 and 19.107 Å, with angles of 90.00, 90.00 and 90.00 degrees. The distinct sites, in fractional coordinates, are Sm at (0.000, 0.000, 0.000), Sm at (0.000, 0.000, 0.207), Sm at (0.000, 0.000, 0.415), Ni at (0.500, 0.500, 0.500), Hg at (0.500, 0.500, 0.104) and Hg at (0.500, 0.500, 0.309).

The total DFT energy (no corrections) comes out at -3.48 eV per atom. The calculation puts the density of states at the Fermi level at 9.80 states/eV per cell.

Below is a geometry-optimized Sm6NiHg3 structure, with properties calculated at the GGA-PBE level.

The space group is Pnnm (No. 58) and the conventional cell measures 9.112, 11.610 and 5.272 Å, with angles of 90.00, 90.00 and 90.00 degrees. The distinct sites, in fractional coordinates, are Sm at (0.010, 0.235, 0.000), Sm at (0.156, 0.080, 0.500), Sm at (0.185, 0.417, 0.500), Ni at (0.000, 0.000, 0.000), Hg at (0.000, 0.500, 0.000) and Hg at (0.154, 0.729, 0.500).

The total DFT energy (no corrections) comes out at -3.78 eV per atom. The calculation puts the density of states at the Fermi level at 18.43 states/eV per cell.

Below is a geometry-optimized Sm3NiHg structure, with properties calculated at the GGA-PBE level.

The space group is P2_1/c (No. 14) and the conventional cell measures 10.107, 6.843 and 8.656 Å, with angles of 90.00, 113.16 and 90.00 degrees. The distinct sites, in fractional coordinates, are Sm at (0.089, 0.067, 0.220), Sm at (0.348, 0.163, 0.624), Sm at (0.349, 0.675, 0.483), Ni at (0.407, 0.036, 0.344) and Hg at (0.108, 0.651, 0.088).

The total DFT energy (no corrections) comes out at -4.29 eV per atom. The calculation puts the density of states at the Fermi level at 22.95 states/eV per cell.

Below is a geometry-optimized Sm2Ni2Hg structure, with properties calculated at the GGA-PBE level.

The space group is Cmmm (No. 65) and the conventional cell measures 3.961, 14.131 and 3.822 Å, with angles of 90.00, 90.00 and 90.00 degrees. The distinct sites, in fractional coordinates, are Sm at (0.000, 0.135, 0.000), Ni at (0.000, 0.298, 0.500) and Hg at (0.000, 0.500, 0.500).

The total DFT energy (no corrections) comes out at -4.72 eV per atom. The calculation puts the density of states at the Fermi level at 7.79 states/eV per cell.

Below is a geometry-optimized Ni3Sn12Hg5 structure, with properties calculated at the GGA-PBE level.

The space group is Ia-3d (No. 230) and the conventional cell measures 16.438, 16.438 and 16.438 Å, with angles of 90.00, 90.00 and 90.00 degrees. The distinct sites, in fractional coordinates, are Ni at (0.000, 0.250, 0.125), Sn at (0.019, 0.095, 0.650), Hg at (0.000, 0.000, 0.000) and Hg at (0.000, 0.250, 0.375).

The total DFT energy (no corrections) comes out at -3.22 eV per atom. The calculation puts the density of states at the Fermi level at 62.94 states/eV per cell.

Below is a geometry-optimized NiSnHg3 structure, with properties calculated at the GGA-PBE level.

The space group is Pm-3m (No. 221) and the conventional cell measures 5.014, 5.014 and 5.014 Å, with angles of 90.00, 90.00 and 90.00 degrees. The distinct sites, in fractional coordinates, are Ni at (0.000, 0.000, 0.000), Sn at (0.500, 0.500, 0.500) and Hg at (0.000, 0.000, 0.500).

The total DFT energy (no corrections) comes out at -1.89 eV per atom. The calculation puts the density of states at the Fermi level at 2.89 states/eV per cell.

Below is a geometry-optimized Ni2SnHg2 structure, with properties calculated at the GGA-PBE level.

The space group is I4/mmm (No. 139) and the conventional cell measures 3.386, 3.386 and 17.544 Å, with angles of 90.00, 90.00 and 90.00 degrees. The distinct sites, in fractional coordinates, are Ni at (0.000, 0.500, 0.250), Sn at (0.000, 0.000, 0.000) and Hg at (0.000, 0.000, 0.371).

The total DFT energy (no corrections) comes out at -2.95 eV per atom. The calculation puts the density of states at the Fermi level at 9.91 states/eV per cell. Its energy above the most stable polymorph in this dataset is 0.88 eV per formula unit.

Below is a geometry-optimized NiSn2Hg2 structure, with properties calculated at the GGA-PBE level.

The space group is P4/mbm (No. 127) and the conventional cell measures 6.690, 6.690 and 5.984 Å, with angles of 90.00, 90.00 and 90.00 degrees. The distinct sites, in fractional coordinates, are Ni at (0.000, 0.000, 0.000), Sn at (0.164, 0.336, 0.000) and Hg at (0.196, 0.304, 0.500).

The total DFT energy (no corrections) comes out at -2.77 eV per atom. The calculation puts the density of states at the Fermi level at 3.86 states/eV per cell.

Below is a geometry-optimized Ni2SnHg structure, with properties calculated at the GGA-PBE level.

The space group is I-42d (No. 122) and the conventional cell measures 7.036, 7.036 and 5.722 Å, with angles of 90.00, 90.00 and 90.00 degrees. The distinct sites, in fractional coordinates, are Ni at (0.240, 0.250, 0.125), Sn at (0.000, 0.000, 0.000) and Hg at (0.000, 0.000, 0.500).

The total DFT energy (no corrections) comes out at -3.67 eV per atom. The calculation puts the density of states at the Fermi level at 9.35 states/eV per cell. Its energy above the most stable polymorph in this dataset is 0.93 eV per formula unit.